Entry from Alexandria via LeMat-Bulk: crystalline HgOsWO2 at its relaxed geometry (GGA+U).

Properties
Final energy: -5.42 eV per atom
DOS(E_F): 1.37 states/eV/f.u.

Lattice parameters (Å, degrees): 3.8342 3.8342 6.5282 90.00 90.00 90.00
Space group P4/mmm (No. 123)
Inequivalent atoms, fractional coordinates:
Hg  0.0000  0.0000  0.0000 x1
Os  0.0000  0.0000  0.5000 x1
W  0.5000  0.5000  0.0000 x1
O  0.0000  0.5000  0.5000 x2